First-principles (GGA-PBE) data for a relaxed Be4ZnCd crystal, as listed in the Alexandria database.

The structure in CIF format:
```
data_Be4ZnCd
_chemical_formula_sum 'Be16 Zn4 Cd4'
_cell_length_a 6.443
_cell_length_b 6.443
_cell_length_c 6.443
_cell_angle_alpha 90.00
_cell_angle_beta 90.00
_cell_angle_gamma 90.00
_space_group_name_H-M_alt 'F -4 3 m'
_space_group_IT_number 216
_space_group_name_Hall 'F -4 2 3'
loop_
_atom_site_label
_atom_site_type_symbol
_atom_site_fract_x
_atom_site_fract_y
_atom_site_fract_z
_atom_site_occupancy
Be1 Be 0.124 0.124 0.124 1
Zn1 Zn 0.250 0.250 0.750 1
Cd1 Cd 0.000 0.000 0.500 1
```

## Properties
The magnetic moment comes out at 0.000 μB per formula unit. Its formation energy is 0.188 eV per atom.